Entry 1:
{"formula": "Sc2FeSe", "functional": "meta-GGA SCAN", "state": "PBEsol geometry", "sg": "Amm2, No. 38", "dos_ef_per_ev_atom": 0.6276, "e_tot_ev_per_atom": -17.44, "raw_formation_energy_ev_per_atom": -0.773, "lattice_angstrom": [[3.9855, 0.0000, 0.0000], [0.0000, 3.4298, 0.0000], [0.0000, 0.0000, 9.7435]], "species": ["Sc", "Sc", "Sc", "Sc", "Fe", "Fe", "Se", "Se"], "fractional_positions": [[0.0000, 0.0000, 0.0000], [0.0000, 0.5000, 0.5000], [0.5000, 0.0000, 0.2931], [0.5000, 0.5000, 0.7931], [0.5000, 0.0000, 0.5563], [0.5000, 0.5000, 0.0563], [0.0000, 0.0000, 0.7166], [0.0000, 0.5000, 0.2166]]}

---

Entry 2:
{"formula": "ScFeSi", "functional": "meta-GGA SCAN", "state": "PBEsol geometry", "sg": "P3m1, No. 156", "dos_ef_per_ev_atom": 0.6869, "e_tot_ev_per_atom": -14.16, "raw_formation_energy_ev_per_atom": -0.029, "lattice_angstrom": [[3.1590, 0.0000, 0.0000], [-1.5795, 2.7357, 0.0000], [0.0000, 0.0000, 5.3661]], "species": ["Sc", "Fe", "Si"], "fractional_positions": [[0.0000, 0.0000, 0.0000], [0.6667, 0.3333, 0.3691], [0.3333, 0.6667, 0.6176]]}

---

Entry 3:
{"formula": "ScFe4Si2", "functional": "meta-GGA SCAN", "state": "PBEsol geometry", "sg": "P4_2/mnm, No. 136", "dos_ef_per_ev_atom": 0.7797, "e_tot_ev_per_atom": -15.65, "raw_formation_energy_ev_per_atom": -0.393, "lattice_angstrom": [[6.7880, 0.0000, 0.0000], [0.0000, 6.7880, 0.0000], [0.0000, 0.0000, 3.7019]], "species": ["Sc", "Sc", "Fe", "Fe", "Fe", "Fe", "Fe", "Fe", "Fe", "Fe", "Si", "Si", "Si", "Si"], "fractional_positions": [[0.0000, 0.0000, 0.0000], [0.5000, 0.5000, 0.5000], [0.0900, 0.3539, 0.5000], [0.1461, 0.5900, 0.0000], [0.3539, 0.0900, 0.5000], [0.4100, 0.8539, 0.0000], [0.5900, 0.1461, 0.0000], [0.6461, 0.9100, 0.5000], [0.8539, 0.4100, 0.0000], [0.9100, 0.6461, 0.5000], [0.2168, 0.7832, 0.5000], [0.2832, 0.2832, 0.0000], [0.7168, 0.7168, 0.0000], [0.7832, 0.2168, 0.5000]]}